First-principles (PBE) data for a relaxed structure of TeOs2F, as listed in Alexandria via LeMat-Bulk.

CIF file:
```
data_TeOs2F
_cell_length_a 6.202
_cell_length_b 6.202
_cell_length_c 6.202
_cell_angle_alpha 90.00
_cell_angle_beta 90.00
_cell_angle_gamma 90.00
_symmetry_space_group_name_H-M 'F m -3 m'
_symmetry_Int_Tables_number 225
_symmetry_space_group_name_Hall '-F 4 2 3'
loop_
_atom_site_label
_atom_site_fract_x
_atom_site_fract_y
_atom_site_fract_z
Te1 0.000 0.000 0.000
Os1 0.250 0.250 0.250
F1 0.000 0.000 0.500
```

Properties
Excess energy over the best structure of this formula in the dataset: 0.0 meV/atom
Formation energy without anion corrections: 0.6111 eV per atom

***

First-principles (PBE) data for a relaxed structure of Te2OsF, as listed in Alexandria via LeMat-Bulk.

CIF file:
```
data_Te2OsF
_cell_length_a 6.175
_cell_length_b 6.175
_cell_length_c 11.304
_cell_angle_alpha 90.00
_cell_angle_beta 90.00
_cell_angle_gamma 90.00
_symmetry_space_group_name_H-M 'I -4 2 d'
_symmetry_Int_Tables_number 122
_symmetry_space_group_name_Hall 'I -4 2bw'
loop_
_atom_site_label
_atom_site_fract_x
_atom_site_fract_y
_atom_site_fract_z
Te1 0.226 0.250 0.125
Os1 0.000 0.000 0.000
F1 0.000 0.000 0.500
```

Properties
Excess energy over the best structure of this formula in the dataset: 227.6 meV/atom
Formation energy without anion corrections: -0.1468 eV per atom

***

First-principles (PBE) data for a relaxed structure of Te2OsF, as listed in Alexandria via LeMat-Bulk.

CIF file:
```
data_Te2OsF
_cell_length_a 3.0663
_cell_length_b 3.0663
_cell_length_c 28.3977
_cell_angle_alpha 90.00
_cell_angle_beta 90.00
_cell_angle_gamma 120.00
_symmetry_space_group_name_H-M 'R -3 m'
_symmetry_Int_Tables_number 166
_symmetry_space_group_name_Hall '-R 3 2"'
loop_
_atom_site_label
_atom_site_fract_x
_atom_site_fract_y
_atom_site_fract_z
Te1 0.0000 0.0000 0.0909
Os1 0.0000 0.0000 0.0000
F1 0.0000 0.0000 0.5000
```

Properties
Excess energy over the best structure of this formula in the dataset: 576.9 meV/atom
Formation energy without anion corrections: 0.2025 eV per atom

***

First-principles (PBE) data for a relaxed structure of TlTe2OsF, as listed in Alexandria via LeMat-Bulk.

CIF file:
```
data_TlTe2OsF
_cell_length_a 5.682
_cell_length_b 5.682
_cell_length_c 3.822
_cell_angle_alpha 90.00
_cell_angle_beta 90.00
_cell_angle_gamma 90.00
_symmetry_space_group_name_H-M 'P 4/m m m'
_symmetry_Int_Tables_number 123
_symmetry_space_group_name_Hall '-P 4 2'
loop_
_atom_site_label
_atom_site_fract_x
_atom_site_fract_y
_atom_site_fract_z
Tl1 0.000 0.000 0.000
Te1 0.000 0.500 0.500
Os1 0.500 0.500 0.000
F1 0.500 0.500 0.500
```

Properties
Formation energy without anion corrections: 0.6168 eV per atom